# BaB2PbN PBE-GGA optimized geometry
data_BaB2PbN
_chemical_formula_sum 'Ba1 B2 Pb1 N1'
_cell_length_a 4.633
_cell_length_b 4.713
_cell_length_c 4.633
_cell_angle_alpha 90.00
_cell_angle_beta 90.00
_cell_angle_gamma 90.00
_symmetry_space_group_name_H-M 'P 1'
_symmetry_Int_Tables_number 1
_symmetry_space_group_name_Hall 'P 1'
loop_
_atom_site_label
_atom_site_type_symbol
_atom_site_fract_x
_atom_site_fract_y
_atom_site_fract_z
_atom_site_occupancy
B1 B 0.000 0.000 0.500 1
Pb1 Pb 0.000 0.500 0.000 1
Ba1 Ba 0.500 0.500 0.500 1
N1 N 0.000 0.000 0.000 1
B2 B 0.500 0.000 0.000 1
# Total magnetization   0.00 μB/cell
# Formation energy from raw total energies   1.808 eV/atom
# Space-group type   P4/mmm (123)